ReSnAu3: optimized geometry, GGA-PBEsol.

POSCAR file:
```
ReSnAu3
1.0
5.027 0.000 0.000
0.000 5.027 0.000
0.000 0.000 5.027
Re Sn Au
1 1 3
Direct
0.000 0.000 0.000
0.500 0.500 0.500
0.000 0.500 0.500
0.500 0.000 0.500
0.500 0.500 0.000
```

## Properties
- N(E_F) (states/eV/cell) = 2.0
- DFT total energy (eV per atom) = -4.132
- E_form (eV/atom) = 1.74